Material: K2BaMn
Method: DFT, GGA-PBE
State: relaxed

Computed properties:
* total magnetization: 4.5 μB per formula unit
* ΔH_f (0 K): 0.66 eV/atom
* distance to the lowest polymorph of the same formula: 70 kJ/mol of formula units
* N(E_F): 5.03 states/eV per cell

abc: 4.2389 4.2389 11.5389
angles: 90.00 90.00 90.00
Closest atoms and distances in Å follow each position.
Positions (direct):
Ba: 0.5000 0.5000 0.7500  4 Ba 4.24, 8 K 4.66
Mn: 0.5000 0.5000 0.2500  8 K 3.72
K: 0.0000 0.0000 0.0590  4 Mn 3.72
K: 0.0000 0.0000 0.4410  4 Mn 3.72


Material: Sc2CoPb
Method: DFT, GGA-PBE
State: relaxed

Computed properties:
* total magnetization: 0.2 μB per formula unit
* ΔH_f (0 K): -0.09 eV/atom
* N(E_F): 3.68 states/eV per cell

abc: 5.4733 5.4733 5.4733
angles: 135.84 135.84 64.23
Closest atoms and distances in Å follow each position.
Positions (direct):
Co: 0.5000 0.5000 0.0000  8 Sc 2.91-3.10, 4 Pb 3.10
Sc: 0.0000 0.0000 0.0000  4 Co 2.91, 4 Pb 3.10, 4 Sc 3.10
Sc: 0.2500 0.7500 0.5000  4 Pb 2.91, 4 Sc 3.10, 4 Co 3.10
Pb: 0.7500 0.2500 0.5000  8 Sc 2.91-3.10, 4 Co 3.10


Material: AlAgHgN2
Method: DFT, GGA-PBE
State: relaxed

Computed properties:
* total magnetization: 2.6 μB per formula unit
* E: -2.978 eV per atom
* N(E_F): 3.25 states/eV per cell

abc: 4.1175 5.7738 4.1175
angles: 90.00 90.00 90.00
Closest atoms and distances in Å follow each position.
Positions (direct):
N: 0.0000 0.0000 0.5000  2 Ag 2.06
N: 0.5000 0.0000 0.0000  2 Ag 2.06
Al: 0.5000 0.5000 0.5000  4 Hg 2.91
Ag: 0.0000 0.0000 0.0000  4 N 2.06
Hg: 0.0000 0.5000 0.0000  2 Ag 2.89, 4 Al 2.91